This record from Alexandria via LeMat-Bulk describes a geometry-optimized LiLaGaIr structure. The functional is GGA-PBE.

```
LiLaGaIr
1.0
-3.5561 2.3918 -2.1014
-3.3221 -2.3601 -2.4852
-4.4465 -0.3561 1.6984
Ir Li Ga La
1 1 1 1
direct
0.5000 0.5000 0.5000
0.0000 0.0000 0.0000
0.2500 0.2500 0.2500
0.7500 0.7500 0.7500
```

## Properties
space group	No. 216
total magnetic moment	0.00	μB per formula unit
energy relative to the elements	-0.4346	eV per atom
DOS at the Fermi energy	3.59	states/eV/cell